Compound: MgI
Source: Alexandria via LeMat-Bulk
Functional: PBE
Structure: relaxed

Computed properties:
Total DFT energy (no corrections)   -60.03 eV/cell
Uncorrected formation energy   -0.61 eV per formula unit

abc: 8.7044 9.0714 17.9038
angles: 90.00 90.00 90.00
Closest atoms and distances in Å follow each position.
Space group Fddd (No. 70, origin choice 2)
Unique sites:
Mg 0.1250 0.1250 0.0001 x16  4 I 3.06-3.19, 2 Mg 3.14
I 0.1149 0.3750 0.3750 x16  4 Mg 3.06-3.19